Run w
A plane-wave DFT calculation with PBE-GGA was carried out for an optimized crystal structure of Ba6TlAg.

Cell lengths 11.804, 11.804, 11.804 Å; angles 150.14, 150.14, 42.73 degrees
Fractional positions:
Ba: 0.089 0.589 0.500
Ba: 0.246 0.246 0.000
Ba: 0.411 0.911 0.500
Ba: 0.589 0.089 0.500
Ba: 0.754 0.754 0.000
Ba: 0.911 0.411 0.500
Tl: 0.000 0.000 0.000
Ag: 0.500 0.500 0.000

Calculated values
Volume ... 50.82 Å³/atom

---

Run x
A plane-wave DFT calculation with PBE-GGA was carried out for an optimized crystal structure of Ba6TlAg.

Cell lengths 8.216, 8.216, 8.218 Å; angles 100.41, 100.41, 118.38 degrees
Fractional positions:
Ba: 0.061 0.412 0.252
Ba: 0.246 0.246 0.758
Ba: 0.412 0.061 0.252
Ba: 0.588 0.939 0.748
Ba: 0.754 0.754 0.242
Ba: 0.939 0.588 0.748
Tl: 0.500 0.500 0.500
Ag: 0.000 0.000 0.000

Calculated values
Volume ... 57.09 Å³/atom

---

Stability check: which of them is most stable? run w.

---

Run w
A plane-wave DFT calculation with PBE-GGA was carried out for an optimized crystal structure of Ba3Tl2Ag.

Cell lengths 9.467, 9.467, 4.245 Å; angles 90.00, 90.00, 143.33 degrees
Fractional positions:
Ba: 0.000 0.000 0.000
Ba: 0.342 0.658 0.000
Ba: 0.658 0.342 0.000
Tl: 0.178 0.822 0.500
Tl: 0.822 0.178 0.500
Ag: 0.500 0.500 0.500

Calculated values
Volume ... 37.87 Å³/atom

---

Run x
A plane-wave DFT calculation with PBE-GGA was carried out for an optimized crystal structure of Ba3Tl2Ag.

Cell lengths 4.274, 4.274, 12.500 Å; angles 90.00, 90.00, 90.00 degrees
Fractional positions:
Ba: 0.000 0.000 0.000
Ba: 0.000 0.000 0.338
Ba: 0.000 0.000 0.662
Tl: 0.500 0.500 0.166
Tl: 0.500 0.500 0.834
Ag: 0.500 0.500 0.500

Calculated values
Volume ... 38.06 Å³/atom

---

Stability check: which of them is most stable? run w.

---

Run w
A plane-wave DFT calculation with PBE-GGA was carried out for an optimized crystal structure of Ba4TlAg3.

Cell lengths 4.682, 5.176, 12.676 Å; angles 90.00, 90.00, 90.00 degrees
Fractional positions:
Ba: 0.000 0.000 0.000
Ba: 0.000 0.500 0.271
Ba: 0.500 0.000 0.489
Ba: 0.500 0.500 0.775
Tl: 0.000 0.000 0.705
Ag: 0.000 0.500 0.562
Ag: 0.500 0.000 0.202
Ag: 0.500 0.500 0.070

Calculated values
Volume ... 38.40 Å³/atom

---

Run x
A plane-wave DFT calculation with PBE-GGA was carried out for an optimized crystal structure of Ba4TlAg3.

Cell lengths 9.292, 9.292, 9.292 Å; angles 142.87, 142.87, 53.52 degrees
Fractional positions:
Ba: 0.125 0.625 0.500
Ba: 0.375 0.875 0.500
Ba: 0.625 0.125 0.500
Ba: 0.875 0.375 0.500
Tl: 0.000 0.000 0.000
Ag: 0.247 0.247 0.000
Ag: 0.500 0.500 0.000
Ag: 0.753 0.753 0.000

Calculated values
Volume ... 36.30 Å³/atom

---

Stability check: which of them is most stable? run w.

---

Run w
A plane-wave DFT calculation with PBE-GGA was carried out for an optimized crystal structure of BaTmAg2.

Cell lengths 5.506, 5.506, 3.701 Å; angles 90.00, 90.00, 90.00 degrees
Fractional positions:
Ba: 0.000 0.000 0.000
Tm: 0.500 0.500 0.000
Ag: 0.000 0.500 0.500
Ag: 0.500 0.000 0.500

Calculated values
Volume ... 28.05 Å³/atom

---

Run x
A plane-wave DFT calculation with PBE-GGA was carried out for an optimized crystal structure of BaTmAg2.

Cell lengths 6.381, 6.381, 6.381 Å; angles 46.83, 46.83, 46.83 degrees
Fractional positions:
Ba: 0.000 0.000 0.000
Tm: 0.500 0.500 0.500
Ag: 0.201 0.201 0.201
Ag: 0.799 0.799 0.799

Calculated values
Volume ... 31.58 Å³/atom

---

Run y
A plane-wave DFT calculation with PBE-GGA was carried out for an optimized crystal structure of BaTmAg2.

Cell lengths 3.779, 3.779, 7.879 Å; angles 90.00, 90.00, 90.00 degrees
Fractional positions:
Ba: 0.000 0.000 0.000
Tm: 0.000 0.000 0.500
Ag: 0.500 0.500 0.306
Ag: 0.500 0.500 0.694

Calculated values
Volume ... 28.12 Å³/atom

---

Stability check: which of them is most stable? run y.

---

Run w
A plane-wave DFT calculation with PBE-GGA was carried out for an optimized crystal structure of BaV2Ag.

Cell lengths 10.953, 10.953, 10.953 Å; angles 156.37, 156.37, 33.67 degrees
Fractional positions:
Ba: 0.000 0.000 0.000
Ba: 0.750 0.250 0.500
V: 0.357 0.625 0.232
V: 0.375 0.607 0.732
V: 0.393 0.125 0.768
V: 0.875 0.643 0.268
Ag: 0.250 0.750 0.500
Ag: 0.500 0.500 0.000

Calculated values
Volume ... 26.37 Å³/atom

---

Run x
A plane-wave DFT calculation with PBE-GGA was carried out for an optimized crystal structure of BaV2Ag.

Cell lengths 5.075, 5.075, 5.075 Å; angles 60.00, 60.00, 60.00 degrees
Fractional positions:
Ba: 0.000 0.000 0.000
V: 0.250 0.250 0.250
V: 0.750 0.750 0.750
Ag: 0.500 0.500 0.500

Calculated values
Volume ... 23.10 Å³/atom

---

Stability check: which of them is most stable? run w.

---

Run w
A plane-wave DFT calculation with PBE-GGA was carried out for an optimized crystal structure of BaVAg3.

Cell lengths 5.885, 5.885, 5.885 Å; angles 90.00, 90.00, 90.00 degrees
Fractional positions:
Ba: 0.000 0.000 0.000
V: 0.500 0.500 0.500
Ag: 0.000 0.000 0.500
Ag: 0.000 0.500 0.000
Ag: 0.500 0.000 0.000

Calculated values
Volume ... 40.76 Å³/atom

---

Run x
A plane-wave DFT calculation with PBE-GGA was carried out for an optimized crystal structure of BaVAg3.

Cell lengths 5.225, 5.225, 5.225 Å; angles 90.00, 90.00, 90.00 degrees
Fractional positions:
Ba: 0.000 0.000 0.000
V: 0.500 0.500 0.500
Ag: 0.000 0.500 0.500
Ag: 0.500 0.000 0.500
Ag: 0.500 0.500 0.000

Calculated values
Volume ... 28.53 Å³/atom

---

Stability check: which of them is most stable? run x.

---

Run w
A plane-wave DFT calculation with PBE-GGA was carried out for an optimized crystal structure of Ba2VAg.

Cell lengths 5.852, 5.852, 5.852 Å; angles 60.00, 60.00, 60.00 degrees
Fractional positions:
Ba: 0.250 0.250 0.250
Ba: 0.750 0.750 0.750
V: 0.000 0.000 0.000
Ag: 0.500 0.500 0.500

Calculated values
Volume ... 35.43 Å³/atom

---

Run x
A plane-wave DFT calculation with PBE-GGA was carried out for an optimized crystal structure of Ba2VAg.

Cell lengths 7.330, 7.330, 7.330 Å; angles 103.71, 103.71, 121.72 degrees
Fractional positions:
Ba: 0.114 0.125 0.489
Ba: 0.375 0.886 0.011
Ba: 0.636 0.625 0.511
Ba: 0.875 0.364 0.989
V: 0.250 0.750 0.500
V: 0.500 0.500 0.000
Ag: 0.000 0.000 0.000
Ag: 0.750 0.250 0.500

Calculated values
Volume ... 36.58 Å³/atom

---

Stability check: which of them is most stable? run w.

---

Run w
A plane-wave DFT calculation with PBE-GGA was carried out for an optimized crystal structure of BaAgW2.

Cell lengths 10.589, 10.589, 10.589 Å; angles 153.59, 153.59, 37.70 degrees
Fractional positions:
Ba: 0.375 0.625 0.750
Ba: 0.625 0.375 0.250
Ag: 0.125 0.875 0.250
Ag: 0.875 0.125 0.750
W: 0.000 0.000 0.000
W: 0.000 0.000 0.500
W: 0.000 0.500 0.000
W: 0.500 0.000 0.500

Calculated values
Volume ... 29.32 Å³/atom

---

Run x
A plane-wave DFT calculation with PBE-GGA was carried out for an optimized crystal structure of BaAgW2.

Cell lengths 4.498, 4.498, 7.465 Å; angles 97.14, 97.14, 41.05 degrees
Fractional positions:
Ba: 0.000 0.000 0.000
Ag: 0.760 0.760 0.331
W: 0.221 0.221 0.672
W: 0.500 0.500 0.534

Calculated values
Volume ... 24.58 Å³/atom

---

Stability check: which of them is most stable? run x.

---

Run w
A plane-wave DFT calculation with PBE-GGA was carried out for an optimized crystal structure of BaAgW2.

Cell lengths 2.942, 4.433, 7.324 Å; angles 90.00, 90.00, 90.00 degrees
Fractional positions:
Ba: 0.000 0.000 0.000
Ag: 0.000 0.000 0.500
W: 0.500 0.500 0.339
W: 0.500 0.500 0.661

Calculated values
Volume ... 23.88 Å³/atom

---

Run x
A plane-wave DFT calculation with PBE-GGA was carried out for an optimized crystal structure of BaAgW2.

Cell lengths 2.849, 2.849, 10.300 Å; angles 90.00, 90.00, 96.06 degrees
Fractional positions:
Ba: 0.000 0.000 0.000
Ag: 0.000 0.000 0.500
W: 0.500 0.500 0.288
W: 0.500 0.500 0.712

Calculated values
Volume ... 20.79 Å³/atom

---

Run y
A plane-wave DFT calculation with PBE-GGA was carried out for an optimized crystal structure of BaAgW2.

Cell lengths 4.831, 4.831, 4.831 Å; angles 60.00, 60.00, 60.00 degrees
Fractional positions:
Ba: 0.000 0.000 0.000
Ag: 0.500 0.500 0.500
W: 0.250 0.250 0.250
W: 0.750 0.750 0.750

Calculated values
Volume ... 19.93 Å³/atom

---

Stability check: which of them is most stable? run w.

---

Run w
A plane-wave DFT calculation with PBE-GGA was carried out for an optimized crystal structure of BaAg3W.

Cell lengths 5.819, 5.819, 5.819 Å; angles 90.00, 90.00, 90.00 degrees
Fractional positions:
Ba: 0.000 0.000 0.000
Ag: 0.000 0.000 0.500
Ag: 0.000 0.500 0.000
Ag: 0.500 0.000 0.000
W: 0.500 0.500 0.500

Calculated values
Volume ... 39.41 Å³/atom

---

Run x
A plane-wave DFT calculation with PBE-GGA was carried out for an optimized crystal structure of BaAg3W.

Cell lengths 5.240, 5.240, 5.240 Å; angles 90.00, 90.00, 90.00 degrees
Fractional positions:
Ba: 0.000 0.000 0.000
Ag: 0.000 0.500 0.500
Ag: 0.500 0.000 0.500
Ag: 0.500 0.500 0.000
W: 0.500 0.500 0.500

Calculated values
Volume ... 28.78 Å³/atom

---

Stability check: which of them is most stable? run x.

---

Run w
A plane-wave DFT calculation with PBE-GGA was carried out for an optimized crystal structure of BaY2Ag.

Cell lengths 7.138, 7.138, 7.138 Å; angles 149.95, 131.39, 58.21 degrees
Fractional positions:
Ba: 0.000 0.000 0.000
Y: 0.297 0.797 0.500
Y: 0.703 0.203 0.500
Ag: 0.500 0.500 0.000

Calculated values
Volume ... 33.91 Å³/atom

---

Run x
A plane-wave DFT calculation with PBE-GGA was carried out for an optimized crystal structure of BaY2Ag.

Cell lengths 6.834, 6.834, 6.834 Å; angles 146.73, 131.14, 60.39 degrees
Fractional positions:
Ba: 0.000 0.000 0.000
Y: 0.420 0.420 0.000
Y: 0.709 0.209 0.500
Ag: 0.232 0.732 0.500

Calculated values
Volume ... 32.66 Å³/atom

---

Run y
A plane-wave DFT calculation with PBE-GGA was carried out for an optimized crystal structure of BaY2Ag.

Cell lengths 3.896, 5.207, 6.833 Å; angles 90.00, 105.27, 90.00 degrees
Fractional positions:
Ba: 0.000 0.000 0.000
Y: 0.334 0.500 0.710
Y: 0.666 0.500 0.290
Ag: 0.500 0.000 0.500

Calculated values
Volume ... 33.43 Å³/atom

---

Stability check: which of them is most stable? run w.

---

Run w
A plane-wave DFT calculation with PBE-GGA was carried out for an optimized crystal structure of BaY2Ag.

Cell lengths 3.876, 5.729, 5.863 Å; angles 90.00, 90.00, 90.00 degrees
Fractional positions:
Ba: 0.000 0.000 0.000
Y: 0.000 0.500 0.500
Y: 0.500 0.000 0.500
Ag: 0.500 0.500 0.000

Calculated values
Volume ... 32.54 Å³/atom

---

Run x
A plane-wave DFT calculation with PBE-GGA was carried out for an optimized crystal structure of BaY2Ag.

Cell lengths 4.862, 4.862, 5.579 Å; angles 90.00, 90.00, 90.00 degrees
Fractional positions:
Ba: 0.000 0.000 0.000
Y: 0.000 0.500 0.500
Y: 0.500 0.000 0.500
Ag: 0.500 0.500 0.000

Calculated values
Volume ... 32.97 Å³/atom

---

Run y
A plane-wave DFT calculation with PBE-GGA was carried out for an optimized crystal structure of BaY2Ag.

Cell lengths 6.786, 6.786, 6.786 Å; angles 138.99, 138.99, 59.39 degrees
Fractional positions:
Ba: 0.000 0.000 0.000
Y: 0.250 0.750 0.500
Y: 0.750 0.250 0.500
Ag: 0.500 0.500 0.000

Calculated values
Volume ... 33.32 Å³/atom

---

Stability check: which of them is most stable? run w.